Here is a relaxed structure of Tb3B2N6 from Alexandria via LeMat-Bulk. Energies are from GGA-PBE.

Output
**Spin magnetization**: 0.00 μB/cell
**Formation energy from raw total energies**: -676 meV per atom
**Fermi-level density of states**: 0.199 states/eV per atom

abc: 10.004 10.004 10.004
angles: 159.89 159.89 28.59
Fractional positions:
Tb 0.000 0.000 0.000
Tb 0.181 0.181 0.000
Tb 0.819 0.819 0.000
B 0.381 0.381 0.000
B 0.619 0.619 0.000
N 0.087 0.587 0.500
N 0.305 0.305 0.000
N 0.413 0.913 0.500
N 0.587 0.087 0.500
N 0.695 0.695 0.000
N 0.913 0.413 0.500